First-principles (SCAN) data for a PBEsol-optimized structure of Ba2CaAl, as listed in Alexandria.

- DFT formation energy (eV/f.u.) = 0.27
- total moment (μB/f.u.) = 0.0

abc: 4.0821 5.5059 7.4540
angles: 90.00 105.83 90.00
Positions (direct):
Ca1 0.3234 0.0000 0.5203
Ba1 0.7081 0.5000 0.2899
Ba2 0.0351 0.0000 0.9469
Al1 0.4334 0.5000 0.7430